Entry from the Alexandria database: ScBiRh2 after structural relaxation (PBE).

```
ScBiRh2
1.0
-2.9712 2.1941 -0.7380
0.3467 -0.9626 -4.2577
-2.6688 -3.4266 0.5574
Rh Sc Bi
2 1 1
direct
0.0000 0.0000 0.5000
0.0000 0.5000 0.0000
0.5000 0.0000 0.0000
0.5000 0.5000 0.5000
```

Results
energy relative to the elements = -0.547 eV/atom
theoretical density = 10.570 Mg/m³
total magnetization = 0.00 μB per cell
DOS at the Fermi energy = 0.811 states/eV/atom

=====

Entry from the Alexandria database: Sc2BiRh2 after structural relaxation (PBE).

```
Sc2BiRh2
1.0
4.9643 0.0000 0.0000
0.0000 4.9643 0.0000
2.4821 2.4821 4.2647
Rh Sc Bi
2 2 1
direct
0.3538 0.3538 0.2923
0.6462 0.6462 0.7077
0.2500 0.7500 0.5000
0.7500 0.2500 0.5000
0.0000 0.0000 0.0000
```

Results
energy relative to the elements = -0.493 eV/atom
theoretical density = 7.974 Mg/m³
total magnetization = 0.00 μB per cell
DOS at the Fermi energy = 0.585 states/eV/atom

=====

Entry from the Alexandria database: ScBiRh2 after structural relaxation (PBE).

```
ScBiRh2
1.0
-3.0097 -1.0419 -1.0805
1.4635 -2.5749 -1.5935
-0.6496 -3.6923 5.3697
Bi Sc Rh
1 1 2
direct
0.5000 0.5000 0.5000
0.5000 0.5000 0.0000
0.0000 0.0000 0.2275
0.0000 0.0000 0.7725
```

Results
energy relative to the elements = -0.517 eV/atom
theoretical density = 10.306 Mg/m³
total magnetization = 0.00 μB per cell
DOS at the Fermi energy = 0.806 states/eV/atom

=====

Entry from the Alexandria database: ScBiRh4 after structural relaxation (PBE).

```
ScBiRh4
1.0
-2.0528 -3.5504 3.3275
-1.1560 -4.8615 -1.7092
2.9016 -4.1170 1.5883
Rh Sc Bi
4 1 1
direct
0.1245 0.6252 0.6252
0.6252 0.6252 0.1245
0.6252 0.1245 0.6252
0.6252 0.6252 0.6252
0.2500 0.2500 0.2500
0.0000 0.0000 0.0000
```

Results
energy relative to the elements = -0.317 eV/atom
theoretical density = 10.611 Mg/m³
total magnetization = 0.00 μB per cell
DOS at the Fermi energy = 0.464 states/eV/atom

=====

Question: Which of these has the highest theoretical density?
Answer: ScBiRh4

=====

Question: What is the formula in the second record?
Answer: Sc2BiRh2

=====

Question: Among the records above, which one has the highest theoretical density?
Answer: ScBiRh4

=====

Question: Which value of total magnetization does entry 4 give?
Answer: 0.00 μB per cell